Density functional theory data (GGA-PBE) for a relaxed structure of SmHo3Tl2.

density of states at the Fermi level	13.3	states/eV/cell
crystal system	monoclinic
polymorph energy (0 for the lowest one)	101	meV/atom
density	9.833	g/cm3
energy of formation from the pure elements	-0.166	eV/atom
SG	C2/m, No. 12
calculated total energy	-4.030	eV per atom

Lattice parameters (Å, degrees): 8.6236 8.6236 9.2757 117.92 117.92 36.37
Atoms (fractional coordinates):
Sm1 0.1310 0.1310 0.1708
Sm2 0.8690 0.8690 0.8292
Ho1 0.0592 0.0592 0.7150
Ho2 0.3069 0.3069 0.0086
Ho3 0.3841 0.3841 0.4570
Ho4 0.6159 0.6159 0.5430
Ho5 0.6931 0.6931 0.9914
Ho6 0.9408 0.9408 0.2850
Tl1 0.2224 0.2224 0.5935
Tl2 0.4800 0.4800 0.8268
Tl3 0.5200 0.5200 0.1732
Tl4 0.7776 0.7776 0.4065

---

Density functional theory data (GGA-PBE) for a relaxed structure of Sm12Ho3Tl.

density of states at the Fermi level	22.6	states/eV/cell
crystal system	tetragonal
density	8.019	g/cm3
energy of formation from the pure elements	-0.029	eV/atom
SG	P4/mmm, No. 123
calculated total energy	-4.574	eV per atom

Lattice parameters (Å, degrees): 5.0348 5.0348 20.4518 90.00 90.00 90.00
Atoms (fractional coordinates):
Sm1 0.0000 0.0000 0.0000
Sm2 0.0000 0.0000 0.2466
Sm3 0.0000 0.0000 0.5000
Sm4 0.0000 0.0000 0.7534
Sm5 0.0000 0.5000 0.1220
Sm6 0.0000 0.5000 0.3739
Sm7 0.0000 0.5000 0.6261
Sm8 0.0000 0.5000 0.8780
Sm9 0.5000 0.0000 0.1220
Sm10 0.5000 0.0000 0.3739
Sm11 0.5000 0.0000 0.6261
Sm12 0.5000 0.0000 0.8780
Ho1 0.5000 0.5000 0.2487
Ho2 0.5000 0.5000 0.5000
Ho3 0.5000 0.5000 0.7513
Tl1 0.5000 0.5000 0.0000

---

Density functional theory data (GGA-PBE) for a relaxed structure of Sm2HoTl2.

density of states at the Fermi level	8.9	states/eV/cell
crystal system	monoclinic
polymorph energy (0 for the lowest one)	0	meV/atom
density	9.926	g/cm3
energy of formation from the pure elements	-0.283	eV/atom
SG	P2_1/m, No. 11
calculated total energy	-4.033	eV per atom

Lattice parameters (Å, degrees): 3.7914 5.4230 14.3565 90.00 97.62 90.00
Atoms (fractional coordinates):
Sm1 0.0486 0.2500 0.0969
Sm2 0.2388 0.2500 0.4759
Sm3 0.7612 0.7500 0.5241
Sm4 0.9514 0.7500 0.9031
Ho1 0.1482 0.7500 0.2986
Ho2 0.8518 0.2500 0.7014
Tl1 0.3563 0.7500 0.7110
Tl2 0.4487 0.2500 0.8977
Tl3 0.5513 0.7500 0.1023
Tl4 0.6437 0.2500 0.2890

---

Density functional theory data (GGA-PBE) for a relaxed structure of Sm12Ho6Tl.

density of states at the Fermi level	29.7	states/eV/cell
crystal system	trigonal
density	7.948	g/cm3
energy of formation from the pure elements	0.083	eV/atom
SG	R-3, No. 148
calculated total energy	-4.468	eV per atom

Lattice parameters (Å, degrees): 8.5584 8.5584 8.5584 88.70 88.70 88.70
Atoms (fractional coordinates):
Sm1 0.0383 0.9317 0.2832
Sm2 0.0683 0.7168 0.9617
Sm3 0.1362 0.4853 0.3182
Sm4 0.2832 0.0383 0.9317
Sm5 0.3182 0.1362 0.4853
Sm6 0.4853 0.3182 0.1362
Sm7 0.5147 0.6818 0.8638
Sm8 0.6818 0.8638 0.5147
Sm9 0.7168 0.9617 0.0683
Sm10 0.8638 0.5147 0.6818
Sm11 0.9317 0.2832 0.0383
Sm12 0.9617 0.0683 0.7168
Ho1 0.2109 0.7568 0.5990
Ho2 0.2432 0.4010 0.7891
Ho3 0.4010 0.7891 0.2432
Ho4 0.5990 0.2109 0.7568
Ho5 0.7568 0.5990 0.2109
Ho6 0.7891 0.2432 0.4010
Tl1 0.5000 0.5000 0.5000

---

Density functional theory data (GGA-PBE) for a relaxed structure of Sm3HoTl4.

density of states at the Fermi level	6.2	states/eV/cell
crystal system	tetragonal
polymorph energy (0 for the lowest one)	0	meV/atom
density	10.495	g/cm3
energy of formation from the pure elements	-0.371	eV/atom
SG	P4/mmm, No. 123
calculated total energy	-3.896	eV per atom

Lattice parameters (Å, degrees): 3.8313 3.8313 15.4515 90.00 90.00 90.00
Atoms (fractional coordinates):
Sm1 0.0000 0.0000 0.0000
Sm2 0.0000 0.0000 0.2540
Sm3 0.0000 0.0000 0.7460
Ho1 0.0000 0.0000 0.5000
Tl1 0.5000 0.5000 0.1273
Tl2 0.5000 0.5000 0.3815
Tl3 0.5000 0.5000 0.6185
Tl4 0.5000 0.5000 0.8727

---

Density functional theory data (GGA-PBE) for a relaxed structure of Sm15Ho4Tl.

density of states at the Fermi level	27.0	states/eV/cell
crystal system	tetragonal
density	7.960	g/cm3
energy of formation from the pure elements	-0.021	eV/atom
SG	P4/mmm, No. 123
calculated total energy	-4.594	eV per atom

Lattice parameters (Å, degrees): 5.0496 5.0496 25.5199 90.00 90.00 90.00
Atoms (fractional coordinates):
Sm1 0.0000 0.0000 0.0000
Sm2 0.0000 0.0000 0.1970
Sm3 0.0000 0.0000 0.3990
Sm4 0.0000 0.0000 0.6010
Sm5 0.0000 0.0000 0.8030
Sm6 0.0000 0.5000 0.0975
Sm7 0.0000 0.5000 0.2987
Sm8 0.0000 0.5000 0.5000
Sm9 0.0000 0.5000 0.7013
Sm10 0.0000 0.5000 0.9025
Sm11 0.5000 0.0000 0.0975
Sm12 0.5000 0.0000 0.2987
Sm13 0.5000 0.0000 0.5000
Sm14 0.5000 0.0000 0.7013
Sm15 0.5000 0.0000 0.9025
Ho1 0.5000 0.5000 0.1983
Ho2 0.5000 0.5000 0.3996
Ho3 0.5000 0.5000 0.6004
Ho4 0.5000 0.5000 0.8017
Tl1 0.5000 0.5000 0.0000

---

Density functional theory data (GGA-PBE) for a relaxed structure of Sm4HoTl2.

density of states at the Fermi level	12.1	states/eV/cell
crystal system	trigonal
polymorph energy (0 for the lowest one)	0	meV/atom
density	8.173	g/cm3
energy of formation from the pure elements	0.040	eV/atom
SG	R-3m, No. 166
calculated total energy	-3.987	eV per atom

Lattice parameters (Å, degrees): 9.4823 9.4823 9.4823 34.09 34.09 34.09
Atoms (fractional coordinates):
Sm1 0.1308 0.1308 0.1308
Sm2 0.2666 0.2666 0.2666
Sm3 0.7334 0.7334 0.7334
Sm4 0.8692 0.8692 0.8692
Ho1 0.5000 0.5000 0.5000
Tl1 0.3848 0.3848 0.3848
Tl2 0.6152 0.6152 0.6152

---

Density functional theory data (GGA-PBE) for a relaxed structure of Sm4Ho4Tl.

density of states at the Fermi level	13.2	states/eV/cell
crystal system	tetragonal
density	8.643	g/cm3
energy of formation from the pure elements	-0.037	eV/atom
SG	I4/mmm, No. 139
calculated total energy	-4.432	eV per atom

Lattice parameters (Å, degrees): 7.9556 7.9556 7.9556 95.48 95.48 143.99
Atoms (fractional coordinates):
Sm1 0.1622 0.1622 0.3243
Sm2 0.1622 0.8378 0.0000
Sm3 0.8378 0.1622 0.0000
Sm4 0.8378 0.8378 0.6757
Ho1 0.1635 0.5000 0.6635
Ho2 0.5000 0.1635 0.6635
Ho3 0.5000 0.8365 0.3365
Ho4 0.8365 0.5000 0.3365
Tl1 0.5000 0.5000 0.0000

---

Density functional theory data (GGA-PBE) for a relaxed structure of SmHoTl.

density of states at the Fermi level	2.1	states/eV/cell
crystal system	trigonal
polymorph energy (0 for the lowest one)	106	meV/atom
density	9.546	g/cm3
energy of formation from the pure elements	-0.154	eV/atom
SG	P3m1, No. 156
calculated total energy	-4.042	eV per atom

Lattice parameters (Å, degrees): 5.2868 5.2868 3.7346 90.00 90.00 120.00
Atoms (fractional coordinates):
Sm1 0.0000 0.0000 0.0000
Ho1 0.6667 0.3333 0.5287
Tl1 0.3333 0.6667 0.4037

---

Density functional theory data (GGA-PBE) for a relaxed structure of Sm2Ho5Tl4.

density of states at the Fermi level	14.5	states/eV/cell
crystal system	monoclinic
density	9.569	g/cm3
energy of formation from the pure elements	-0.037	eV/atom
SG	C2/m, No. 12
calculated total energy	-3.837	eV per atom

Lattice parameters (Å, degrees): 12.4128 12.4128 7.9404 94.71 94.71 16.05
Atoms (fractional coordinates):
Sm1 0.0945 0.0945 0.2283
Sm2 0.9055 0.9055 0.7717
Ho1 0.1398 0.1398 0.6431
Ho2 0.2363 0.2363 0.3100
Ho3 0.5000 0.5000 0.5000
Ho4 0.7637 0.7637 0.6900
Ho5 0.8602 0.8602 0.3569
Tl1 0.0374 0.0374 0.8490
Tl2 0.3224 0.3224 0.0192
Tl3 0.6776 0.6776 0.9808
Tl4 0.9626 0.9626 0.1510

---

Density functional theory data (GGA-PBE) for a relaxed structure of Sm4HoTl.

density of states at the Fermi level	11.1	states/eV/cell
crystal system	tetragonal
polymorph energy (0 for the lowest one)	0	meV/atom
density	8.449	g/cm3
energy of formation from the pure elements	-0.035	eV/atom
SG	P4/mmm, No. 123
calculated total energy	-4.339	eV per atom

Lattice parameters (Å, degrees): 4.1110 4.1110 11.2900 90.00 90.00 90.00
Atoms (fractional coordinates):
Sm1 0.0000 0.0000 0.1485
Sm2 0.0000 0.0000 0.8515
Sm3 0.5000 0.5000 0.3352
Sm4 0.5000 0.5000 0.6648
Ho1 0.0000 0.0000 0.5000
Tl1 0.5000 0.5000 0.0000

---

Density functional theory data (GGA-PBE) for a relaxed structure of Sm9HoTl2.

density of states at the Fermi level	15.3	states/eV/cell
crystal system	tetragonal
density	8.560	g/cm3
energy of formation from the pure elements	-0.120	eV/atom
SG	P4/mmm, No. 123
calculated total energy	-4.435	eV per atom

Lattice parameters (Å, degrees): 4.9541 4.9541 15.2312 90.00 90.00 90.00
Atoms (fractional coordinates):
Sm1 0.0000 0.0000 0.0000
Sm2 0.0000 0.0000 0.3363
Sm3 0.0000 0.0000 0.6637
Sm4 0.0000 0.5000 0.1717
Sm5 0.0000 0.5000 0.5000
Sm6 0.0000 0.5000 0.8283
Sm7 0.5000 0.0000 0.1717
Sm8 0.5000 0.0000 0.5000
Sm9 0.5000 0.0000 0.8283
Ho1 0.5000 0.5000 0.0000
Tl1 0.5000 0.5000 0.3397
Tl2 0.5000 0.5000 0.6603